No. 1
Here is a relaxed Pm2SnHPd6 crystal from the Alexandria database. Energies are from PBE-GGA.

abc: 5.771 5.781 7.136
angles: 66.79 66.18 60.07
Element x y z (fractional)
Pm1 0.227 0.240 0.307
Pm2 0.773 0.760 0.693
Sn1 0.500 0.500 0.500
H1 0.000 0.000 0.000
Pd1 0.226 0.714 0.832
Pd2 0.231 0.215 0.814
Pd3 0.263 0.786 0.184
Pd4 0.737 0.214 0.816
Pd5 0.769 0.785 0.186
Pd6 0.774 0.286 0.168

Output
crystal system: triclinic
volume: 18.31 Å³/atom
total DFT energy (no corrections): -5.46 eV/atom



No. 2
Here is a relaxed Pr4Nd5Er2 crystal from the Alexandria database. Energies are from PBE-GGA.

abc: 9.120 9.120 12.325
angles: 93.67 93.67 22.20
Element x y z (fractional)
Pr1 0.044 0.044 0.270
Pr2 0.283 0.283 0.635
Pr3 0.717 0.717 0.365
Pr4 0.956 0.956 0.730
Nd1 0.135 0.135 0.819
Nd2 0.190 0.190 0.094
Nd3 0.500 0.500 0.000
Nd4 0.810 0.810 0.906
Nd5 0.865 0.865 0.181
Er1 0.093 0.093 0.539
Er2 0.907 0.907 0.461

Output
ΔE_f: 168 kJ/mol of formula units
E above lowest polymorph: 0.0000 eV per atom
crystal system: monoclinic
volume: 35.14 Å³/atom



No. 3
Here is a relaxed Sr2MgIn2 crystal from the Alexandria database. Energies are from PBE-GGA.

abc: 6.711 6.711 12.120
angles: 115.75 115.75 43.73
Element x y z (fractional)
Sr1 0.004 0.004 0.329
Sr2 0.187 0.187 0.105
Sr3 0.813 0.813 0.895
Sr4 0.996 0.996 0.671
Mg1 0.278 0.278 0.636
Mg2 0.722 0.722 0.364
In1 0.363 0.363 0.432
In2 0.483 0.483 0.117
In3 0.517 0.517 0.883
In4 0.637 0.637 0.568

Output
ΔE_f: -171 kJ/mol of formula units
E above lowest polymorph: 0.0000 eV per atom
crystal system: monoclinic
volume: 33.34 Å³/atom